1.
! CsSb6Au8 (PBE-GGA, relaxed); values from VASP
! spin magnetization = 0.0 μB per cell
! Fermi-level density of states = 6.90 states/eV/f.u.
! symmetry = P-1, No. 2
! E_form (uncorrected) = 0.00 eV/atom
&SYSTEM
  ibrav = 0, nat = 15, ntyp = 3
/
ATOMIC_SPECIES
Cs 132.91 Cs.upf
Sb 121.76 Sb.upf
Au 196.97 Au.upf
CELL_PARAMETERS angstrom
7.9201 0.0000 0.0000
-0.3184 7.9154 0.0000
-0.3132 -0.3185 7.9186
ATOMIC_POSITIONS crystal
Cs 0.0000 0.0000 0.0000
Sb 0.1028 0.3675 0.5574
Sb 0.3673 0.5572 0.1025
Sb 0.4430 0.8971 0.6326
Sb 0.5570 0.1029 0.3674
Sb 0.6327 0.4428 0.8975
Sb 0.8972 0.6325 0.4426
Au 0.1170 0.4645 0.8794
Au 0.1204 0.8828 0.5355
Au 0.3902 0.3905 0.3901
Au 0.4644 0.8797 0.1176
Au 0.5356 0.1203 0.8824
Au 0.6098 0.6095 0.6099
Au 0.8796 0.1172 0.4645
Au 0.8830 0.5355 0.1206

2.
! Cs2BiSeCl3 (PBE-GGA, relaxed); values from VASP
! spin magnetization = 0.0 μB per cell
! Fermi-level density of states = 0.90 states/eV/f.u.
! symmetry = Immm, No. 71
! E_form (uncorrected) = -1.34 eV/atom
&SYSTEM
  ibrav = 0, nat = 7, ntyp = 4
/
ATOMIC_SPECIES
Cs 132.91 Cs.upf
Bi 208.98 Bi.upf
Se 78.96 Se.upf
Cl 35.45 Cl.upf
CELL_PARAMETERS angstrom
-2.8152 2.8217 8.7683
2.8152 -2.8217 8.7683
2.8152 2.8217 -8.7683
ATOMIC_POSITIONS crystal
Cs 0.1406 0.1406 0.0000
Cs 0.8594 0.8594 0.0000
Bi 0.5000 0.5000 0.0000
Se 0.0000 0.5000 0.5000
Cl 0.3409 0.3409 0.0000
Cl 0.5000 0.0000 0.5000
Cl 0.6591 0.6591 0.0000

3.
! Ta2BeC (PBE-GGA, relaxed); values from VASP
! spin magnetization = 0.0 μB per cell
! Fermi-level density of states = 1.25 states/eV/f.u.
! symmetry = R-3m, No. 166
! energy relative to the elements = -265.8 meV/atom
! energy above the most stable polymorph in this dataset = 0 meV/atom
&SYSTEM
  ibrav = 0, nat = 4, ntyp = 3
/
ATOMIC_SPECIES
Ta 180.95 Ta.upf
Be 9.01 Be.upf
C 12.01 C.upf
CELL_PARAMETERS angstrom
1.5624 0.9021 6.0862
-1.5624 0.9021 6.0862
0.0000 -1.8041 6.0862
ATOMIC_POSITIONS crystal
Ta 0.2354 0.2354 0.2354
Ta 0.7646 0.7646 0.7646
Be 0.0000 0.0000 0.0000
C 0.5000 0.5000 0.5000